Below is a relaxed TaSi2I crystal, with properties calculated at the PBE level.

a = 7.5429 Å, b = 7.5429 Å, c = 7.5429 Å
α = 130.49°, β = 130.49°, γ = 72.62°
Last column: nearest neighbours and their distance in Å.
Fractional coordinates of all 8 atoms:
Ta  0.0000  0.0000  0.0000  4 Si 2.48
Ta  0.7500  0.2500  0.5000  4 Si 2.48
Si  0.0603  0.6250  0.9353  2 Ta 2.48
Si  0.3750  0.3103  0.4353  2 Ta 2.48
Si  0.6897  0.1250  0.0647  2 Ta 2.48
Si  0.8750  0.9397  0.5647  2 Ta 2.48
I  0.2500  0.7500  0.5000  4 Si 2.96
I  0.5000  0.5000  0.0000  4 Si 2.96

The value obtained for the density of states at the Fermi level is 0.907 states/eV/atom. The value obtained for the formation energy from raw total energies is 0.986 eV per atom. As for the symmetry: I-42d, No. 122. Its magnetization is 0.0 Bohr magnetons per cell.